# 1
Computed, not measured: a relaxed structure of ZrBr at the PBE level of DFT.

Cell and atoms, written as POSCAR:
```
ZrBr
1.0
0.000 4.905 5.241
3.992 0.000 5.241
3.992 4.905 0.000
Zr Br
4 4
direct
0.013 0.013 0.737
0.263 0.263 0.987
0.737 0.737 0.013
0.987 0.987 0.263
0.173 0.577 0.577
0.423 0.827 0.827
0.577 0.173 0.173
0.827 0.423 0.423
```

Values from the calculation:
VASP energy (eV/atom): -5.46
SG: Fddd
Relative energy among the computed polymorphs (eV/f.u.): 1.28
ΔE_f (raw) (eV per atom): -0.349

***

# 2
Computed, not measured: a relaxed structure of ZrBr at the PBE level of DFT.

Cell and atoms, written as POSCAR:
```
ZrBr
1.0
3.313 0.000 0.000
0.000 4.884 0.000
0.000 0.000 10.974
Zr Br
4 4
direct
0.000 0.250 0.109
0.000 0.750 0.891
0.500 0.250 0.391
0.500 0.750 0.609
0.000 0.250 0.605
0.000 0.750 0.395
0.500 0.250 0.895
0.500 0.750 0.105
```

Values from the calculation:
VASP energy (eV/atom): -5.40
SG: Imma
Relative energy among the computed polymorphs (eV/f.u.): 1.40
ΔE_f (raw) (eV per atom): -0.291

***

> What is the relative energy among the computed polymorphs in the first record?

1.28 eV/f.u.